A plane-wave DFT calculation with PBE was carried out for a relaxed structure of Dy2Tl3ZnSe6.

a b c (Å): 7.1688 12.3900 7.8654
angles (deg): 90.00 108.01 90.00
Space group C2/m (No. 12)
Inequivalent atoms, fractional coordinates:
Dy 0.0000 0.1653 0.0000 x4
Tl 0.0000 0.0000 0.5000 x2
Tl 0.0000 0.3276 0.5000 x4
Zn 0.0000 0.5000 0.0000 x2
Se 0.2265 0.3407 0.2015 x8
Se 0.2461 0.0000 0.2104 x4

- Volume: 664.4 Å³/cell
- Raw formation energy: -0.989 eV/atom
- Uncorrected energy: -4.196 eV/atom
- Crystal system: monoclinic